16
Lattice="2.506 -6.036 0.000 2.506 6.036 0.000 0.000 0.000 17.691" Properties=species:S:1:pos:R:3 comment="PBE Ba3Cd3Ag2, relaxed" total_energy_ev_per_cell=-33.19 delta_e_f_ev_per_atom=-0.297 pbc="T T T"
Ba 2.506 4.996 10.662
Ba 2.506 4.996 15.874
Ba 2.506 1.570 13.268
Ba 2.506 -1.570 4.423
Ba 2.506 -4.996 1.816
Ba 2.506 -4.996 7.029
Cd 2.506 1.996 4.423
Cd 2.506 1.541 9.540
Cd 2.506 1.541 16.996
Cd 2.506 -1.541 0.695
Cd 2.506 -1.541 8.151
Cd 2.506 -1.996 13.268
Ag 2.506 3.507 1.837
Ag 2.506 3.507 7.008
Ag 2.506 -3.507 10.683
Ag 2.506 -3.507 15.853

5
Lattice="4.111 0.000 0.000 0.000 4.111 0.000 0.000 0.000 4.418" Properties=species:S:1:pos:R:3 comment="PBE NbCr2BiB, relaxed" total_energy_ev_per_cell=-37.98 delta_e_f_ev_per_atom=0.379 pbc="T T T"
Nb 0.000 0.000 0.000
Cr 0.000 2.055 2.209
Cr 2.055 0.000 2.209
Bi 2.055 2.055 0.000
B 0.000 0.000 2.209

4
Lattice="1.857 -2.492 0.000 1.857 2.492 0.000 0.000 0.000 10.613" Properties=species:S:1:pos:R:3 comment="PBE AlCd2Te, relaxed" total_energy_ev_per_cell=-7.98 raw_formation_energy_ev_per_atom=0.1846 de_polymorph_mev_per_atom=208 pbc="T T T"
Al 0.000 0.000 0.000
Cd 0.000 0.000 4.975
Cd 1.857 0.000 2.386
Te 1.857 0.000 8.080

8
Lattice="-3.591 3.591 4.851 3.591 -3.591 4.851 3.591 3.591 -4.851" Properties=species:S:1:pos:R:3 comment="PBE K2CeAlS4, relaxed" total_energy_ev_per_cell=-39.37 raw_formation_energy_ev_per_atom=-1.3740 pbc="T T T"
K 0.000 0.000 0.000
K 0.000 3.591 2.426
Ce 3.591 0.000 2.426
Al 0.000 0.000 4.851
S 2.044 2.362 -1.137
S 4.821 2.044 1.137
S 1.548 1.229 3.715
S -1.229 1.548 5.988

20
Lattice="9.518 0.000 0.000 0.000 9.518 0.000 0.000 0.000 3.512" Properties=species:S:1:pos:R:3 comment="PBE Er2MgAl2Ni5, relaxed" total_energy_ev_per_cell=-101.45 delta_e_f_ev_per_atom=-0.361 pbc="T T T"
Er 1.724 3.035 0.000
Er 3.035 7.794 0.000
Er 6.483 1.724 0.000
Er 7.794 6.483 0.000
Mg 0.000 0.000 0.000
Mg 4.759 4.759 0.000
Al 1.091 5.850 0.000
Al 3.668 1.091 0.000
Al 5.850 8.427 0.000
Al 8.427 3.668 0.000
Ni 0.000 4.759 1.756
Ni 0.597 7.433 1.756
Ni 2.085 0.597 1.756
Ni 2.674 5.356 1.756
Ni 4.162 2.674 1.756
Ni 4.759 0.000 1.756
Ni 5.356 6.844 1.756
Ni 6.844 4.162 1.756
Ni 7.433 8.921 1.756
Ni 8.921 2.085 1.756

8
Lattice="-3.467 3.467 2.665 3.467 -3.467 2.665 3.467 3.467 -2.665" Properties=species:S:1:pos:R:3 comment="PBE ZrZnFe2, relaxed" total_energy_ev_per_cell=-50.30 delta_e_f_ev_per_atom=0.400 pbc="T T T"
Zr 0.000 0.000 0.000
Zr 0.000 3.467 1.333
Zn 3.467 0.000 1.333
Zn 0.000 0.000 2.665
Fe 1.734 -1.584 1.999
Fe 1.883 1.734 0.666
Fe 1.734 5.051 -0.666
Fe 1.584 1.734 3.332

6
Lattice="0.000 3.604 3.604 3.604 0.000 3.604 3.604 3.604 0.000" Properties=species:S:1:pos:R:3 comment="PBE ZrVZn4, relaxed" total_energy_ev_per_cell=-23.59 delta_e_f_ev_per_atom=-0.138 pbc="T T T"
Zr 0.000 0.000 0.000
V 1.802 1.802 1.802
Zn 4.503 2.706 2.706
Zn 2.706 4.503 2.706
Zn 2.706 2.706 4.503
Zn 4.503 4.503 4.503

46
Lattice="0.000 7.253 7.253 7.253 0.000 7.253 7.253 7.253 0.000" Properties=species:S:1:pos:R:3 comment="PBE LaAl20Cr2, relaxed" total_energy_ev_per_cell=-205.50 delta_e_f_ev_per_atom=-0.162 pbc="T T T"
La 1.813 1.813 1.813
La 12.693 12.693 12.693
Al 0.000 0.000 0.000
Al 3.627 3.627 0.000
Al 3.627 0.000 3.627
Al 4.747 2.787 2.787
Al 8.093 6.133 2.787
Al 8.093 2.787 6.133
Al 9.760 6.413 6.413
Al 11.719 8.373 6.413
Al 11.719 6.413 8.373
Al 5.440 5.440 3.466
Al 5.440 3.466 5.440
Al 7.414 5.440 5.440
Al 2.787 4.747 2.787
Al 6.133 8.093 2.787
Al 2.787 2.787 4.747
Al 8.093 8.093 4.747
Al 6.133 2.787 8.093
Al 8.093 4.747 8.093
Al 9.066 9.066 7.093
Al 9.066 7.093 9.066
Al 11.040 9.066 9.066
Al 0.000 3.627 3.627
Al 3.466 5.440 5.440
Al 5.440 7.414 5.440
Al 5.440 5.440 7.414
Al 6.413 9.760 6.413
Al 8.373 11.719 6.413
Al 6.413 6.413 9.760
Al 11.719 11.719 9.760
Al 8.373 6.413 11.719
Al 11.719 9.760 11.719
Al 7.093 9.066 9.066
Al 9.066 11.040 9.066
Al 9.066 9.066 11.040
Al 2.787 8.093 6.133
Al 2.787 6.133 8.093
Al 4.747 8.093 8.093
Al 6.413 11.719 8.373
Al 6.413 8.373 11.719
Al 9.760 11.719 11.719
Cr 7.253 3.627 3.627
Cr 3.627 7.253 3.627
Cr 3.627 3.627 7.253
Cr 7.253 7.253 7.253